No. 1
VASP calculation (GGA-PBE) on a relaxed structure of Fe2AgHAu.

Unit cell a=3.850 b=3.850 c=4.216 alpha=90.00 beta=90.00 gamma=90.00
Space group P4/mmm (No. 123)
One atom of each set of equivalent atoms:
Fe 0.000 0.500 0.000
Ag 0.000 0.000 0.500
H 0.000 0.000 0.000
Au 0.500 0.500 0.500

Calculated values
E_tot: -5.04 eV/atom
Spin magnetization: 5.4 μB per formula unit



No. 2
VASP calculation (GGA-PBE) on a relaxed structure of Li2FeAgAu.

Unit cell a=4.546 b=4.546 c=4.863 alpha=90.00 beta=90.00 gamma=90.00
Space group P4/mmm (No. 123)
One atom of each set of equivalent atoms:
Li 0.000 0.500 0.000
Fe 0.000 0.000 0.500
Ag 0.000 0.000 0.000
Au 0.500 0.500 0.500

Calculated values
E_tot: -3.11 eV/atom
Spin magnetization: 2.9 μB per formula unit
Formation energy from the elements: 576 meV/atom



No. 3
VASP calculation (GGA-PBE) on a relaxed structure of FeAgAu2N.

Unit cell a=4.874 b=4.874 c=5.024 alpha=90.00 beta=90.00 gamma=90.00
Space group P4/mmm (No. 123)
One atom of each set of equivalent atoms:
Fe 0.000 0.000 0.000
Ag 0.000 0.000 0.500
Au 0.000 0.500 0.000
N 0.500 0.500 0.500

Calculated values
E_tot: -3.44 eV/atom
Spin magnetization: 5.8 μB per formula unit
Formation energy (no corrections): 1.800 eV per atom



No. 4
VASP calculation (GGA-PBE) on a relaxed structure of FeAgPdAu.

Unit cell a=2.863 b=2.863 c=7.782 alpha=90.00 beta=90.00 gamma=90.00
Space group P4mm (No. 99)
One atom of each set of equivalent atoms:
Fe 0.000 0.000 0.000
Ag 0.000 0.000 0.481
Pd 0.500 0.500 0.215
Au 0.500 0.500 0.760

Calculated values
E_tot: -4.95 eV/atom
Spin magnetization: 3.4 μB per formula unit
ΔE to the lowest computed polymorph: 0.0 meV per atom
Formation energy from the elements: -7 meV/atom



No. 5
VASP calculation (GGA-PBE) on a relaxed structure of FeAgPdAu.

Unit cell a=6.365 b=6.365 c=6.365 alpha=90.00 beta=90.00 gamma=90.00
Space group F-43m (No. 216)
One atom of each set of equivalent atoms:
Fe 0.000 0.000 0.000
Ag 0.000 0.000 0.500
Pd 0.250 0.250 0.750
Au 0.250 0.250 0.250

Calculated values
E_tot: -4.84 eV/atom
Spin magnetization: 3.5 μB per formula unit
ΔE to the lowest computed polymorph: 113.8 meV per atom
Formation energy from the elements: 106 meV/atom



No. 6
VASP calculation (GGA-PBE) on a relaxed structure of TaFeAgAu2.

Unit cell a=4.673 b=4.673 c=4.617 alpha=90.00 beta=90.00 gamma=90.00
Space group P4/mmm (No. 123)
One atom of each set of equivalent atoms:
Ta 0.000 0.000 0.000
Fe 0.500 0.500 0.500
Ag 0.500 0.500 0.000
Au 0.000 0.500 0.500

Calculated values
E_tot: -4.69 eV/atom
Spin magnetization: 5.2 μB per formula unit
Formation energy from the elements: 1256 meV/atom



No. 7
VASP calculation (GGA-PBE) on a relaxed structure of Th2FeAgAu.

Unit cell a=7.955 b=3.987 c=8.086 alpha=90.00 beta=114.71 gamma=90.00
Space group P2_1/m (No. 11)
One atom of each set of equivalent atoms:
Th 0.126 0.250 0.353
Th 0.296 0.250 0.990
Fe 0.064 0.750 0.071
Ag 0.301 0.750 0.679
Au 0.432 0.750 0.338

Calculated values
E_tot: -6.14 eV/atom
Spin magnetization: 1.0 μB per formula unit
Formation energy from the elements: -259 meV/atom



No. 8
VASP calculation (GGA-PBE) on a relaxed structure of FeAgW2Au.

Unit cell a=4.413 b=4.413 c=4.810 alpha=90.00 beta=90.00 gamma=90.00
Space group P4/mmm (No. 123)
One atom of each set of equivalent atoms:
Fe 0.000 0.000 0.000
Ag 0.500 0.500 0.500
W 0.000 0.500 0.000
Au 0.000 0.000 0.500

Calculated values
E_tot: -6.74 eV/atom
Spin magnetization: 0.0 μB per formula unit
Formation energy from the elements: 1357 meV/atom



No. 9
VASP calculation (GGA-PBE) on a relaxed structure of Ga3Ag2Au8.

Unit cell a=5.4915 b=5.4915 c=29.8650 alpha=90.00 beta=90.00 gamma=120.00
Space group R-3m (No. 166, hexagonal axes)
One atom of each set of equivalent atoms:
Ga 0.0000 0.0000 0.0000
Ga 0.0000 0.0000 0.1895
Ag 0.0000 0.0000 0.3653
Au 0.0000 0.0000 0.2755
Au 0.0010 0.5005 0.2195

Calculated values
E_tot: -3.09 eV/atom
Spin magnetization: 0.0 μB per formula unit
ΔE to the lowest computed polymorph: 78.2 meV per atom
Formation energy from the elements: 64 meV/atom



No. 10
VASP calculation (GGA-PBE) on a relaxed structure of Ga5Ag8Au.

Unit cell a=8.107 b=8.107 c=7.900 alpha=90.00 beta=90.00 gamma=90.00
Space group I-4 (No. 82)
One atom of each set of equivalent atoms:
Ga 0.000 0.000 0.000
Ga 0.129 0.218 0.592
Ag 0.066 0.335 0.918
Ag 0.098 0.166 0.263
Au 0.000 0.500 0.250

Calculated values
E_tot: -2.86 eV/atom
Spin magnetization: 0.0 μB per formula unit
Formation energy from the elements: 81 meV/atom



No. 11
VASP calculation (GGA-PBE) on a relaxed structure of Ga3Ag7Au.

Unit cell a=5.8963 b=5.8963 c=6.7867 alpha=90.00 beta=90.00 gamma=120.00
Space group P3m1 (No. 156)
One atom of each set of equivalent atoms:
Ga 0.1675 0.3350 0.0000
Ag 0.3333 0.6667 0.3240
Ag 0.3356 0.1678 0.3207
Ag 0.5021 0.0043 0.6760
Au 0.0000 0.0000 0.6871

Calculated values
E_tot: -2.92 eV/atom
Spin magnetization: 0.0 μB per formula unit
Formation energy from the elements: 17 meV/atom



No. 12
VASP calculation (GGA-PBE) on a relaxed structure of GaAgAu.

Unit cell a=4.5354 b=4.5354 c=2.9973 alpha=90.00 beta=90.00 gamma=120.00
Space group P3m1 (No. 156)
One atom of each set of equivalent atoms:
Ga 0.0000 0.0000 0.0000
Ag 0.6667 0.3333 0.5024
Au 0.3333 0.6667 0.0030

Calculated values
E_tot: -3.16 eV/atom
Spin magnetization: 0.0 μB per formula unit
ΔE to the lowest computed polymorph: 0.0 meV per atom
Formation energy from the elements: -107 meV/atom